First-principles (PBE-GGA) data for crystalline ErSc6Sn at its relaxed geometry, as listed in the Alexandria database.

Geometry as extended XYZ:
```
8
Lattice="3.798 -5.148 0.000 3.798 5.148 0.000 0.000 0.000 5.023" Properties=species:S:1:pos:R:3 pbc="T T T"
Er 0.000 0.000 0.000
Sc 1.899 2.574 0.000
Sc 3.798 2.803 2.512
Sc 2.115 0.000 2.512
Sc 1.899 -2.574 0.000
Sc 5.482 0.000 2.512
Sc 3.798 -2.803 2.512
Sn 3.798 0.000 0.000
```

Output
excess energy over the best structure of this formula in the dataset = 0.0 meV/atom
DOS(E_F) = 1.623 states/eV per atom
E_tot = -0.4370 Ry per atom

=====

First-principles (PBE-GGA) data for crystalline NaTcNi at its relaxed geometry, as listed in the Alexandria database.

Geometry as extended XYZ:
```
6
Lattice="3.759 0.000 0.000 0.000 3.759 0.000 0.000 0.000 7.685" Properties=species:S:1:pos:R:3 pbc="T T T"
Na 0.940 0.940 1.072
Na 2.820 2.820 6.613
Tc 0.940 2.820 3.842
Tc 2.820 0.940 3.842
Ni 0.940 0.940 5.457
Ni 2.820 2.820 2.228
```

Output
excess energy over the best structure of this formula in the dataset = 261.5 meV/atom
DOS(E_F) = 1.370 states/eV per atom
E_tot = -0.3910 Ry per atom

=====

First-principles (PBE-GGA) data for crystalline TbNdHoAg at its relaxed geometry, as listed in the Alexandria database.

Geometry as extended XYZ:
```
4
Lattice="0.000 3.844 3.844 3.844 0.000 3.844 3.844 3.844 0.000" Properties=species:S:1:pos:R:3 pbc="T T T"
Tb 0.000 0.000 0.000
Nd 3.844 3.844 3.844
Ho 1.922 1.922 1.922
Ag 5.765 5.765 5.765
```

Output
excess energy over the best structure of this formula in the dataset = 197.6 meV/atom
DOS(E_F) = 1.016 states/eV per atom
E_tot = -0.3046 Ry per atom